# TiSbI3

A relaxed TiSbI3 crystal (GGA-PBE, the Alexandria database).

Summary:
Total moment   0.4 μB/cell
Raw total energy   -2.593 eV per atom
Crystal system   cubic

a b c (Å): 6.030 6.030 6.030
angles (deg): 90.00 90.00 90.00
Element x y z (fractional)
Ti 0.000 0.000 0.000
Sb 0.500 0.500 0.500
I 0.000 0.500 0.500
I 0.500 0.000 0.500
I 0.500 0.500 0.000

# TiSb3I

A relaxed TiSb3I crystal (GGA-PBE, the Alexandria database).

Summary:
Total moment   0.0 μB/cell
Raw total energy   -4.304 eV per atom
Crystal system   cubic

a b c (Å): 5.313 5.313 5.313
angles (deg): 90.00 90.00 90.00
Element x y z (fractional)
Ti 0.000 0.000 0.000
Sb 0.000 0.000 0.500
Sb 0.000 0.500 0.000
Sb 0.500 0.000 0.000
I 0.500 0.500 0.500

# TiSb2I

A relaxed TiSb2I crystal (GGA-PBE, the Alexandria database).

Summary:
Total moment   4.9 μB/cell
Raw total energy   -3.897 eV per atom
Crystal system   cubic

a b c (Å): 7.436 7.436 7.436
angles (deg): 90.00 90.00 90.00
Element x y z (fractional)
Ti 0.000 0.000 0.000
Ti 0.000 0.500 0.500
Ti 0.500 0.000 0.500
Ti 0.500 0.500 0.000
Sb 0.250 0.250 0.250
Sb 0.250 0.250 0.750
Sb 0.250 0.750 0.250
Sb 0.250 0.750 0.750
Sb 0.750 0.250 0.250
Sb 0.750 0.250 0.750
Sb 0.750 0.750 0.250
Sb 0.750 0.750 0.750
I 0.000 0.000 0.500
I 0.000 0.500 0.000
I 0.500 0.000 0.000
I 0.500 0.500 0.500

| no. | ΔE_f (raw) (eV per atom) |
| --- | --- |
| 1 | 0.740 |
| 2 | 0.059 |
| 3 | 0.525 |